20
Lattice="6.173 -4.353 0.000 6.173 4.353 0.000 -2.073 0.000 5.027" Properties=species:S:1:pos:R:3 comment="PBE+U BeNiI2O6, relaxed" volume_a3_per_fu=135.1 dft_energy_ev_per_atom=-4.654 spacegroup="No. 15" pbc="T T T"
Be 4.618 2.639 3.770
Be 5.655 -2.639 1.257
Ni 5.655 3.452 1.257
Ni 4.618 -3.452 3.770
I 2.764 1.303 1.456
I 1.728 -1.303 3.969
I 8.545 1.303 1.058
I 7.509 -1.303 3.571
O 0.766 0.752 0.854
O -0.271 -0.752 3.367
O 4.409 1.966 2.269
O 2.021 0.461 4.397
O 6.901 1.966 0.244
O 3.057 -0.461 1.883
O 7.216 0.461 3.144
O 3.372 -1.966 4.783
O 8.252 -0.461 0.630
O 5.864 -1.966 2.758
O 10.544 0.752 1.660
O 9.507 -0.752 4.173